1.
This record from Alexandria describes a relaxed PIr2Au crystal. The functional is PBE-GGA.

Cell lengths 2.8072, 4.5864, 4.8144 Å; angles 90.00, 90.00, 90.00 degrees
Last column: nearest neighbours and their distance in Å.
Space group Pmmm (No. 47)
Symmetry-distinct sites (fractional):
P 0.0000 0.0000 0.0000 [1 per cell]  4 Ir 2.69, 4 Au 2.79, 2 P 2.81
Ir 0.0000 0.5000 0.5000 [1 per cell]  4 Au 2.69, 6 Ir 2.79-2.81
Ir 0.5000 0.5000 0.0000 [1 per cell]  4 P 2.69, 6 Ir 2.79-2.81
Au 0.5000 0.0000 0.5000 [1 per cell]  4 Ir 2.69, 4 P 2.79, 2 Au 2.81

Energy of formation, kcal/mol of atoms: 11.4

2.
This record from Alexandria describes a relaxed PIr2Au crystal. The functional is PBE-GGA.

Cell lengths 4.0007, 4.0007, 7.6906 Å; angles 90.00, 90.00, 90.00 degrees
Last column: nearest neighbours and their distance in Å.
Space group I-4m2 (No. 119)
Symmetry-distinct sites (fractional):
P 0.0000 0.0000 0.0000 [2 per cell]  8 Ir 2.77-2.83, 4 Au 2.77
Ir 0.0000 0.0000 0.5000 [2 per cell]  4 Ir 2.77, 4 Au 2.77, 4 P 2.83
Ir 0.0000 0.5000 0.2500 [2 per cell]  4 P 2.77, 4 Ir 2.77, 4 Au 2.83
Au 0.0000 0.5000 0.7500 [2 per cell]  8 Ir 2.77-2.83, 4 P 2.77

Energy of formation, kcal/mol of atoms: 13.6

3.
This record from Alexandria describes a relaxed PIr2Au crystal. The functional is PBE-GGA.

Cell lengths 2.8831, 2.8831, 7.1444 Å; angles 90.00, 90.00, 90.00 degrees
Last column: nearest neighbours and their distance in Å.
Space group P4/mmm (No. 123)
Symmetry-distinct sites (fractional):
P 0.0000 0.0000 0.0000 [1 per cell]  8 Ir 2.48
Ir 0.5000 0.5000 0.1982 [2 per cell]  4 P 2.48
Au 0.0000 0.0000 0.5000 [1 per cell]  4 Au 2.88, 8 Ir 2.97

Energy of formation, kcal/mol of atoms: 1.3

4.
This record from Alexandria describes a relaxed PIrAu4 crystal. The functional is PBE-GGA.

Cell lengths 7.6461, 7.6461, 7.6461 Å; angles 90.00, 90.00, 90.00 degrees
Last column: nearest neighbours and their distance in Å.
Space group F-43m (No. 216)
Symmetry-distinct sites (fractional):
P 0.0000 0.0000 0.0000 [4 per cell]  12 Au 3.17, 4 Ir 3.31
Ir 0.2500 0.2500 0.7500 [4 per cell]  12 Au 3.17, 4 P 3.31
Au 0.1249 0.1249 0.3751 [16 per cell]  6 Au 2.70-2.71

Energy of formation, kcal/mol of atoms: 18.9

5.
This record from Alexandria describes a relaxed PIr3Au crystal. The functional is PBE-GGA.

Cell lengths 4.4068, 4.4068, 4.4068 Å; angles 90.00, 90.00, 90.00 degrees
Last column: nearest neighbours and their distance in Å.
Space group Pm-3m (No. 221)
Symmetry-distinct sites (fractional):
P 0.0000 0.0000 0.0000 [1 per cell]  6 Ir 2.20
Ir 0.0000 0.0000 0.5000 [3 per cell]  2 P 2.20
Au 0.5000 0.5000 0.5000 [1 per cell]  12 Ir 3.12

Energy of formation, kcal/mol of atoms: 13.6

6.
This record from Alexandria describes a relaxed PIr2Au crystal. The functional is PBE-GGA.

Cell lengths 2.8742, 2.8742, 25.9898 Å; angles 90.00, 90.00, 120.00 degrees
Last column: nearest neighbours and their distance in Å.
Space group R3m (No. 160, hexagonal axes)
Symmetry-distinct sites (fractional):
P 0.0000 0.0000 0.0000 [3 per cell]  3 Ir 2.38
Ir 0.0000 0.0000 0.4853 [3 per cell]  9 Ir 2.79-2.87, 3 Au 2.89
Ir 0.0000 0.0000 0.7322 [3 per cell]  3 P 2.38
Au 0.0000 0.0000 0.2430 [3 per cell]  6 Au 2.87, 3 P 2.87, 3 Ir 2.89

Energy of formation, kcal/mol of atoms: 4.9